Density functional theory data (PBE) for crystalline PmNd2Pd at its relaxed geometry.

Values from the calculation:
density of states at the Fermi level	1.634	states/eV per atom
polymorph energy (0 for the lowest one)	85	meV per atom
total DFT energy (no corrections)	-5.1927	eV per atom
volume	118.0	Å³/f.u.
formation energy	-0.323	eV per atom
symmetry	No. 123

Cell: 3.6994 3.6994 8.6254 Å, 90.00 90.00 90.00°
Closest atoms and distances in Å follow each position.
Positions (direct):
Pm  0.0000  0.0000  0.0000  8 Nd 3.68, 4 Pm 3.70
Nd  0.5000  0.5000  0.3002  4 Pd 3.13, 1 Nd 3.45
Nd  0.5000  0.5000  0.6998  4 Pd 3.13, 1 Nd 3.45
Pd  0.0000  0.0000  0.5000  8 Nd 3.13